No. 1
VASP calculation (PBE) on crystalline RbCuSb2H2Se4O at its relaxed geometry.

Unit cell a=4.1117 b=11.2388 c=21.5773 alpha=90.00 beta=90.00 gamma=90.00
Fractional positions:
1 Se 0.7500 0.6414 0.4971
2 Se 0.7500 0.8991 0.2906
3 Sb 0.2500 0.0383 0.9195
4 H 0.9342 0.6162 0.0780
5 Cu 0.2500 0.9028 0.2243
6 Se 0.2500 0.7074 0.1639
7 H 0.5658 0.6162 0.0780
8 Rb 0.7500 0.1422 0.5791
9 Sb 0.2500 0.8772 0.7389
10 Sb 0.2500 0.5383 0.5805
11 Se 0.2500 0.0727 0.1512
12 Cu 0.2500 0.4028 0.2757
13 Se 0.2500 0.8586 0.9971
14 Cu 0.7500 0.5972 0.7243
15 Se 0.7500 0.4273 0.6512
16 Sb 0.7500 0.9617 0.0805
17 Se 0.2500 0.3586 0.5029
18 H 0.5658 0.1162 0.4220
19 H 0.0658 0.3838 0.9220
20 H 0.4342 0.3838 0.9220
21 Se 0.7500 0.3991 0.2094
22 Se 0.2500 0.1009 0.7094
23 Se 0.2500 0.2074 0.3361
24 Cu 0.7500 0.0972 0.7757
25 H 0.9342 0.1162 0.4220
26 Rb 0.2500 0.3578 0.0791
27 Se 0.2500 0.5727 0.3488
28 O 0.2500 0.4194 0.9449
29 H 0.4342 0.8838 0.5780
30 O 0.7500 0.0806 0.4449
31 Se 0.7500 0.1414 0.0029
32 Se 0.7500 0.9273 0.8488
33 Sb 0.2500 0.3772 0.7611
34 Rb 0.7500 0.6422 0.9209
35 Sb 0.7500 0.6228 0.2389
36 Sb 0.7500 0.1228 0.2611
37 O 0.7500 0.5806 0.0551
38 H 0.0658 0.8838 0.5780
39 Sb 0.7500 0.4617 0.4195
40 Se 0.7500 0.7926 0.6639
41 O 0.2500 0.9194 0.5551
42 Se 0.7500 0.2926 0.8361
43 Se 0.2500 0.6009 0.7906
44 Rb 0.2500 0.8578 0.4209

Properties
- Energy: -4.15 eV per atom

---

No. 2
VASP calculation (PBE) on crystalline Tb2Er4Tm at its relaxed geometry.

Unit cell a=3.5399 b=3.5400 c=19.7766 alpha=90.00 beta=90.00 gamma=120.00
Fractional positions:
1 Er 0.0477 0.0955 0.2388
2 Tm 0.7143 0.4287 0.6663
3 Er 0.3806 0.7612 0.5259
4 Er 0.0484 0.0968 0.9512
5 Tb 0.7149 0.4298 0.0957
6 Tb 0.7139 0.4278 0.3821
7 Er 0.3815 0.7630 0.8081

Properties
- Energy above the lowest structure with this stoichiometry: 0.0 kJ per mole of atoms
- Energy: -4.56 eV per atom
- Energy relative to the elements: 0.004 eV/atom

---

No. 3
VASP calculation (PBE) on crystalline CsCoI2 at its relaxed geometry.

Unit cell a=8.4322 b=8.4322 c=7.4084 alpha=55.31 beta=55.31 gamma=90.00
Each line ends with the local moment (μB).
Fractional positions:
1 I 0.5037 0.1250 0.2500  0.06
2 Cs 0.0000 0.0000 0.0000  0.00
3 Co 0.2500 0.7500 0.5000  1.80
4 I 0.2463 0.6250 0.2500  0.06
5 Cs 0.7500 0.2500 0.5000  0.00
6 I 0.3750 0.4963 0.7500  0.06
7 I 0.8750 0.7537 0.7500  0.06
8 Co 0.5000 0.5000 0.0000  1.78

Properties
- Energy above the lowest structure with this stoichiometry: 0.0 kJ per mole of atoms
- Energy: -3.26 eV per atom
- Energy relative to the elements, uncorrected: -192 kJ/mol of formula units

---

No. 4
VASP calculation (PBE) on crystalline K2LiCo at its relaxed geometry.

Unit cell a=11.7858 b=11.7858 c=11.7858 alpha=17.79 beta=17.79 gamma=17.79
Each line ends with the local moment (μB).
Fractional positions:
1 K 0.0108 0.0108 0.0108  -0.01
2 K 0.4892 0.4892 0.4892  -0.01
3 Li 0.2500 0.2500 0.2500  0.04
4 Co 0.7500 0.7500 0.7500  1.95

Properties
- Energy above the lowest structure with this stoichiometry: 24.8 kJ per mole of atoms
- Energy: -1.92 eV per atom
- Energy relative to the elements: 0.887 eV/atom